Zr5Te | GGA-PBE | optimized geometry

energy: -7.807 eV/atom
symmetry: P-62m (189)

Cell: 5.5055 5.5055 5.2037 Å, 90.00 90.00 120.00°
Fractional coordinates of all 6 atoms:
Zr (0.0000, 0.6772, 0.0000)
Zr (0.3228, 0.3228, 0.0000)
Zr (0.3333, 0.6667, 0.5000)
Zr (0.6667, 0.3333, 0.5000)
Zr (0.6772, 0.0000, 0.0000)
Te (0.0000, 0.0000, 0.5000)



ZnPbSO | GGA-PBE | optimized geometry

energy: -4.329 eV/atom
polymorph energy (0 for the lowest one): 13.13 kJ/mol of atoms
symmetry: P2_12_12_1 (19)

Cell: 6.4989 6.5425 7.2092 Å, 90.00 90.00 90.00°
Fractional coordinates of all 16 atoms:
Zn (0.0987, 0.1431, 0.3743)
Zn (0.4013, 0.8569, 0.8743)
Zn (0.5987, 0.3569, 0.6257)
Zn (0.9013, 0.6431, 0.1257)
Pb (0.1361, 0.4584, 0.7091)
Pb (0.3639, 0.5416, 0.2091)
Pb (0.6361, 0.0416, 0.2909)
Pb (0.8639, 0.9584, 0.7909)
S (0.0446, 0.7919, 0.3956)
S (0.4554, 0.2081, 0.8956)
S (0.5446, 0.7081, 0.6044)
S (0.9554, 0.2919, 0.1044)
O (0.1340, 0.7309, 0.9388)
O (0.3660, 0.2691, 0.4388)
O (0.6340, 0.7691, 0.0612)
O (0.8660, 0.2309, 0.5612)



Be2SnPt2 | GGA-PBE | optimized geometry

energy: -5.191 eV/atom
symmetry: I4/mmm (139)

Cell: 6.7472 6.7472 6.7472 Å, 150.68 150.68 41.94°
Fractional coordinates of all 5 atoms:
Be (0.2500, 0.7500, 0.5000)
Be (0.7500, 0.2500, 0.5000)
Sn (0.0000, 0.0000, 0.0000)
Pt (0.3782, 0.3782, 0.0000)
Pt (0.6218, 0.6218, 0.0000)



BaNaTmSe3 | GGA-PBE | optimized geometry

energy: -4.687 eV/atom
polymorph energy (0 for the lowest one): 0.62 kJ/mol of atoms
symmetry: Cmcm (63)

Cell: 7.4393 7.4393 10.7872 Å, 90.00 90.00 145.78°
Fractional coordinates of all 12 atoms:
Ba (0.2467, 0.7533, 0.7500)
Ba (0.7533, 0.2467, 0.2500)
Na (0.0293, 0.9707, 0.2500)
Na (0.9707, 0.0293, 0.7500)
Tm (0.5000, 0.5000, 0.0000)
Tm (0.5000, 0.5000, 0.5000)
Se (0.1335, 0.8665, 0.0425)
Se (0.1335, 0.8665, 0.4575)
Se (0.4231, 0.5769, 0.2500)
Se (0.5769, 0.4231, 0.7500)
Se (0.8665, 0.1335, 0.5425)
Se (0.8665, 0.1335, 0.9575)



H6AuC3SN | GGA-PBE | optimized geometry

energy: -5.257 eV/atom
symmetry: P2_1/c (14)

Cell: 5.6495 15.3587 7.9236 Å, 90.00 121.31 90.00°
Fractional coordinates of all 48 atoms:
H (0.0631, 0.1108, 0.0298)
H (0.0631, 0.3892, 0.5298)
H (0.1899, 0.2197, 0.1198)
H (0.1899, 0.2803, 0.6198)
H (0.1986, 0.6792, 0.8178)
H (0.1986, 0.8208, 0.3178)
H (0.2141, 0.6686, 0.0489)
H (0.2141, 0.8314, 0.5489)
H (0.3929, 0.7435, 0.5129)
H (0.3929, 0.7565, 0.0129)
H (0.4229, 0.1375, 0.1272)
H (0.4229, 0.3625, 0.6272)
H (0.5771, 0.6375, 0.3728)
H (0.5771, 0.8625, 0.8728)
H (0.6071, 0.2435, 0.9871)
H (0.6071, 0.2565, 0.4871)
H (0.7859, 0.1686, 0.4511)
H (0.7859, 0.3314, 0.9511)
H (0.8014, 0.1792, 0.6822)
H (0.8014, 0.3208, 0.1822)
H (0.8101, 0.7197, 0.3802)
H (0.8101, 0.7803, 0.8802)
H (0.9369, 0.6108, 0.4702)
H (0.9369, 0.8892, 0.9702)
Au (0.3230, 0.1125, 0.4140)
Au (0.3230, 0.3875, 0.9140)
Au (0.6770, 0.6125, 0.0860)
Au (0.6770, 0.8875, 0.5860)
C (0.2103, 0.0135, 0.7256)
C (0.2103, 0.4865, 0.2256)
C (0.2396, 0.1501, 0.1367)
C (0.2396, 0.3499, 0.6367)
C (0.3286, 0.6883, 0.9782)
C (0.3286, 0.8117, 0.4782)
C (0.6714, 0.1883, 0.5218)
C (0.6714, 0.3117, 0.0218)
C (0.7604, 0.6501, 0.3633)
C (0.7604, 0.8499, 0.8633)
C (0.7897, 0.5135, 0.7744)
C (0.7897, 0.9865, 0.2744)
S (0.4565, 0.0802, 0.7592)
S (0.4565, 0.4198, 0.2592)
S (0.5435, 0.5802, 0.7408)
S (0.5435, 0.9198, 0.2408)
N (0.0350, 0.5354, 0.2023)
N (0.0350, 0.9646, 0.7023)
N (0.9650, 0.0354, 0.2977)
N (0.9650, 0.4646, 0.7977)



Y2HoZn3Ir2Pt | GGA-PBE | optimized geometry

energy: -5.793 eV/atom
symmetry: Amm2 (38)
E_form: -7.07 eV/f.u.

Cell: 3.8862 7.1878 7.1878 Å, 119.82 90.00 90.00°
Fractional coordinates of all 9 atoms:
Y (0.0000, 0.2039, 0.7961)
Y (0.0000, 0.7961, 0.2039)
Ho (0.0000, 0.3896, 0.3896)
Zn (0.5000, 0.0493, 0.0493)
Zn (0.5000, 0.5416, 0.7969)
Zn (0.5000, 0.7969, 0.5416)
Ir (0.5000, 0.1327, 0.4615)
Ir (0.5000, 0.4615, 0.1327)
Pt (0.0000, 0.7932, 0.7932)



CsCdPb | GGA-PBE | optimized geometry

energy: -1.573 eV/atom
polymorph energy (0 for the lowest one): 0.00 kJ/mol of atoms
symmetry: F-43m (216)

Cell: 5.7661 5.7661 5.7661 Å, 60.00 60.00 60.00°
Fractional coordinates of all 3 atoms:
Cs (0.0000, 0.0000, 0.0000)
Cd (0.5000, 0.5000, 0.5000)
Pb (0.7500, 0.7500, 0.7500)



CsAcTc | GGA-PBE | optimized geometry

energy: -3.258 eV/atom
polymorph energy (0 for the lowest one): 14.92 kJ/mol of atoms
symmetry: F-43m (216)

Cell: 5.3521 5.3521 5.3521 Å, 60.00 60.00 60.00°
Fractional coordinates of all 3 atoms:
Cs (0.0000, 0.0000, 0.0000)
Ac (0.7500, 0.7500, 0.7500)
Tc (0.2500, 0.2500, 0.2500)



PrZrOs | GGA-PBE | optimized geometry

energy: -7.630 eV/atom
symmetry: F-43m (216)
E_form: 1.66 eV/f.u.

Cell: 4.6701 4.6701 4.6701 Å, 60.00 60.00 60.00°
Fractional coordinates of all 3 atoms:
Pr (0.0000, 0.0000, 0.0000)
Zr (0.7500, 0.7500, 0.7500)
Os (0.5000, 0.5000, 0.5000)



Lu4GaSbC2 | GGA-PBE | optimized geometry

energy: -6.039 eV/atom
symmetry: P-6m2 (187)

Cell: 3.5279 3.5279 14.9867 Å, 90.00 90.00 120.00°
Fractional coordinates of all 8 atoms:
Lu (0.0000, 0.0000, 0.1592)
Lu (0.0000, 0.0000, 0.8408)
Lu (0.3333, 0.6667, 0.3325)
Lu (0.3333, 0.6667, 0.6675)
Ga (0.3333, 0.6667, 0.0000)
Sb (0.0000, 0.0000, 0.5000)
C (0.6667, 0.3333, 0.2505)
C (0.6667, 0.3333, 0.7495)



LiZrTlCo | GGA-PBE | optimized geometry

energy: -4.736 eV/atom
polymorph energy (0 for the lowest one): 31.20 kJ/mol of atoms
symmetry: F-43m (216)

Cell: 4.6192 4.6192 4.6192 Å, 60.00 60.00 60.00°
Fractional coordinates of all 4 atoms:
Li (0.0000, 0.0000, 0.0000)
Zr (0.2500, 0.2500, 0.2500)
Tl (0.5000, 0.5000, 0.5000)
Co (0.7500, 0.7500, 0.7500)



NbTlAgSe2S | GGA-PBE | optimized geometry

energy: -4.813 eV/atom
symmetry: Cmcm (63)

Cell: 7.6271 7.6271 10.0904 Å, 90.00 90.00 151.49°
Fractional coordinates of all 12 atoms:
Nb (0.0000, 0.0000, 0.0000)
Nb (0.0000, 0.0000, 0.5000)
Tl (0.2583, 0.7417, 0.7500)
Tl (0.7417, 0.2583, 0.2500)
Ag (0.4488, 0.5512, 0.2500)
Ag (0.5512, 0.4488, 0.7500)
Se (0.3714, 0.6286, 0.0245)
Se (0.3714, 0.6286, 0.4755)
Se (0.6286, 0.3714, 0.5245)
Se (0.6286, 0.3714, 0.9755)
S (0.0618, 0.9382, 0.2500)
S (0.9382, 0.0618, 0.7500)